1.
Material: RbNiAgSeS2
Method: DFT, GGA-PBE
State: relaxed

a b c (Å): 8.178 8.178 10.336
angles (deg): 90.00 90.00 155.61
Atoms (fractional coordinates):
Rb  0.231  0.769  0.750
Rb  0.769  0.231  0.250
Ni  0.500  0.500  0.000
Ni  0.500  0.500  0.500
Ag  0.083  0.917  0.250
Ag  0.917  0.083  0.750
Se  0.450  0.550  0.250
Se  0.550  0.450  0.750
S  0.094  0.906  0.016
S  0.094  0.906  0.484
S  0.906  0.094  0.516
S  0.906  0.094  0.984

V (Å³/f.u.): 143
Density (g/cm³): 4.6
E_tot (eV for the cell shown): -45.4
Magnetic moment (μB/f.u.): 0.00

***

2.
Material: RbNiAgSe2S
Method: DFT, GGA-PBE
State: relaxed

a b c (Å): 7.831 7.831 10.447
angles (deg): 90.00 90.00 152.64
Atoms (fractional coordinates):
Rb  0.246  0.754  0.750
Rb  0.754  0.246  0.250
Ni  0.500  0.500  0.000
Ni  0.500  0.500  0.500
Ag  0.051  0.949  0.250
Ag  0.949  0.051  0.750
Se  0.103  0.897  0.016
Se  0.103  0.897  0.484
Se  0.897  0.103  0.516
Se  0.897  0.103  0.984
S  0.441  0.559  0.250
S  0.559  0.441  0.750

V (Å³/f.u.): 147
Density (g/cm³): 5.0
E_tot (eV for the cell shown): -43.9
Magnetic moment (μB/f.u.): 0.02

***

3.
Material: RbNiAgTeS2
Method: DFT, GGA-PBE
State: relaxed

a b c (Å): 8.553 8.553 10.644
angles (deg): 90.00 90.00 156.66
Atoms (fractional coordinates):
Rb  0.235  0.765  0.750
Rb  0.765  0.235  0.250
Ni  0.000  0.000  0.000
Ni  0.000  0.000  0.500
Ag  0.438  0.562  0.250
Ag  0.562  0.438  0.750
Te  0.077  0.923  0.250
Te  0.923  0.077  0.750
S  0.411  0.589  0.024
S  0.411  0.589  0.476
S  0.589  0.411  0.524
S  0.589  0.411  0.976

V (Å³/f.u.): 154
Density (g/cm³): 4.8
E_tot (eV for the cell shown): -44.7
Magnetic moment (μB/f.u.): 0.00

***

4.
Material: RbNiAgSe3
Method: DFT, GGA-PBE
State: relaxed

a b c (Å): 8.021 8.021 10.431
angles (deg): 90.00 90.00 153.60
Atoms (fractional coordinates):
Rb  0.249  0.751  0.750
Rb  0.751  0.249  0.250
Ni  0.000  0.000  0.000
Ni  0.000  0.000  0.500
Ag  0.441  0.559  0.250
Ag  0.559  0.441  0.750
Se  0.063  0.937  0.250
Se  0.398  0.602  0.013
Se  0.398  0.602  0.487
Se  0.602  0.398  0.513
Se  0.602  0.398  0.987
Se  0.937  0.063  0.750

V (Å³/f.u.): 149
Density (g/cm³): 5.4
E_tot (eV for the cell shown): -43.1
Magnetic moment (μB/f.u.): 0.01

***

5.
Material: ReNiAg2
Method: DFT, GGA-PBE
State: relaxed

a b c (Å): 4.408 4.408 4.408
angles (deg): 60.00 60.00 60.00
Atoms (fractional coordinates):
Re  0.000  0.000  0.000
Ni  0.750  0.750  0.750
Ag  0.250  0.250  0.250
Ag  0.500  0.500  0.500

V (Å³/f.u.): 61
Density (g/cm³): 12.6
E_tot (eV for the cell shown): -20.5
Magnetic moment (μB/f.u.): 0.75

***

6.
Material: ReNiAg2S6
Method: DFT, GGA-PBE
State: relaxed

a b c (Å): 6.508 6.508 6.508
angles (deg): 60.00 60.00 60.00
Atoms (fractional coordinates):
Re  0.000  0.000  0.000
Ni  0.500  0.500  0.500
Ag  0.250  0.250  0.250
Ag  0.750  0.750  0.750
S  0.253  0.253  0.747
S  0.253  0.747  0.253
S  0.253  0.747  0.747
S  0.747  0.253  0.253
S  0.747  0.253  0.747
S  0.747  0.747  0.253

V (Å³/f.u.): 195
Density (g/cm³): 5.6
E_tot (eV for the cell shown): -44.1
Magnetic moment (μB/f.u.): 0.32

***

7.
Material: NiAgSbS3
Method: DFT, GGA-PBE
State: relaxed

a b c (Å): 5.076 7.792 13.003
angles (deg): 90.00 90.00 90.00
Atoms (fractional coordinates):
Ni  0.022  0.131  0.244
Ni  0.478  0.869  0.744
Ni  0.522  0.369  0.756
Ni  0.978  0.631  0.256
Ag  0.024  0.603  0.943
Ag  0.476  0.397  0.443
Ag  0.524  0.897  0.057
Ag  0.976  0.103  0.557
Sb  0.006  0.638  0.635
Sb  0.494  0.362  0.135
Sb  0.506  0.862  0.365
Sb  0.994  0.138  0.865
S  0.167  0.643  0.411
S  0.193  0.873  0.209
S  0.227  0.124  0.393
S  0.273  0.876  0.893
S  0.307  0.127  0.709
S  0.333  0.357  0.911
S  0.667  0.857  0.589
S  0.693  0.627  0.791
S  0.727  0.376  0.607
S  0.773  0.624  0.107
S  0.807  0.373  0.291
S  0.833  0.143  0.089

V (Å³/f.u.): 129
Density (g/cm³): 5.0
E_tot (eV for the cell shown): -105.1
Magnetic moment (μB/f.u.): 0.00

***

8.
Material: TlNiAgSeS2
Method: DFT, GGA-PBE
State: relaxed

a b c (Å): 7.568 7.568 10.275
angles (deg): 90.00 90.00 154.32
Atoms (fractional coordinates):
Tl  0.195  0.805  0.750
Tl  0.805  0.195  0.250
Ni  0.500  0.500  0.000
Ni  0.500  0.500  0.500
Ag  0.136  0.864  0.250
Ag  0.864  0.136  0.750
Se  0.477  0.523  0.250
Se  0.523  0.477  0.750
S  0.102  0.898  0.012
S  0.102  0.898  0.488
S  0.898  0.102  0.512
S  0.898  0.102  0.988

V (Å³/f.u.): 128
Density (g/cm³): 6.7
E_tot (eV for the cell shown): -46.6
Magnetic moment (μB/f.u.): 0.00

***

Repeat the sixth record exactly.
Material: ReNiAg2S6
Method: DFT, GGA-PBE
State: relaxed

a b c (Å): 6.508 6.508 6.508
angles (deg): 60.00 60.00 60.00
Atoms (fractional coordinates):
Re  0.000  0.000  0.000
Ni  0.500  0.500  0.500
Ag  0.250  0.250  0.250
Ag  0.750  0.750  0.750
S  0.253  0.253  0.747
S  0.253  0.747  0.253
S  0.253  0.747  0.747
S  0.747  0.253  0.253
S  0.747  0.253  0.747
S  0.747  0.747  0.253

V (Å³/f.u.): 195
Density (g/cm³): 5.6
E_tot (eV for the cell shown): -44.1
Magnetic moment (μB/f.u.): 0.32